A relaxed ZnTe2 crystal. Source: Alexandria, functional PBE-GGA. Values from VASP.

- calculated volume (A^3/atom) = 35.63
- total DFT energy (no corrections) (eV per atom) = -2.368
- space-group type = Cmmm
- Fermi-level density of states (states/eV/atom) = 0.804
- calculated density (Mg/m³) = 5.0

Structure (Quantum ESPRESSO input):
```
&SYSTEM
  ibrav = 0, nat = 6, ntyp = 2
/
ATOMIC_SPECIES
Zn 65.41 Zn.upf
Te 127.60 Te.upf
CELL_PARAMETERS angstrom
2.045 -13.060 0.000
2.045 13.060 0.000
0.000 0.000 4.003
ATOMIC_POSITIONS angstrom
Zn 2.045 8.495 0.000
Zn 2.045 -8.495 0.000
Te 0.000 0.000 2.002
Te 2.045 4.464 2.002
Te 2.045 0.000 0.000
Te 2.045 -4.464 2.002
```



A relaxed PmSmAl crystal. Source: Alexandria, functional PBE-GGA. Values from VASP.

- calculated volume (A^3/atom) = 32.09
- space-group type = F-43m
- Fermi-level density of states (states/eV/atom) = 1.607
- calculated density (Mg/m³) = 5.6
- distance to the lowest polymorph of the same formula (meV/atom) = 191.0

Structure (Quantum ESPRESSO input):
```
&SYSTEM
  ibrav = 0, nat = 3, ntyp = 3
/
ATOMIC_SPECIES
Pm 145.00 Pm.upf
Sm 150.36 Sm.upf
Al 26.98 Al.upf
CELL_PARAMETERS angstrom
0.000 3.638 3.638
3.638 0.000 3.638
3.638 3.638 0.000
ATOMIC_POSITIONS angstrom
Pm 0.000 0.000 0.000
Sm 3.638 3.638 3.638
Al 1.819 1.819 1.819
```



A relaxed Pr12CuSn6 crystal. Source: Alexandria, functional PBE-GGA. Values from VASP.

- calculated volume (A^3/atom) = 33.49
- total DFT energy (no corrections) (eV per atom) = -4.940
- space-group type = R-3
- Fermi-level density of states (states/eV/atom) = 1.261
- calculated density (Mg/m³) = 6.4

Structure (Quantum ESPRESSO input):
```
&SYSTEM
  ibrav = 0, nat = 19, ntyp = 3
/
ATOMIC_SPECIES
Pr 140.91 Pr.upf
Cu 63.55 Cu.upf
Sn 118.71 Sn.upf
CELL_PARAMETERS angstrom
6.208 3.584 4.767
-6.208 3.584 4.767
0.000 -7.168 4.767
ATOMIC_POSITIONS angstrom
Pr -5.463 -1.472 7.977
Pr -1.457 -5.467 6.324
Pr -1.424 -1.727 5.355
Pr -4.006 3.995 6.324
Pr -0.783 2.096 5.355
Pr -2.207 0.370 8.946
Pr 2.207 -0.370 5.355
Pr 0.783 -2.096 8.946
Pr 4.006 -3.995 7.977
Pr 1.424 1.727 8.946
Pr 1.457 5.467 7.977
Pr 5.463 1.472 6.324
Cu 0.000 0.000 7.150
Sn -3.746 0.663 6.074
Sn -2.447 -2.912 8.227
Sn 1.298 -3.575 6.074
Sn -1.298 3.575 8.227
Sn 2.447 2.912 6.074
Sn 3.746 -0.663 8.227
```



A relaxed K2YCr crystal. Source: Alexandria, functional PBE-GGA. Values from VASP.

- calculated volume (A^3/atom) = 36.42
- space-group type = C2/m
- Fermi-level density of states (states/eV/atom) = 0.833
- calculated density (Mg/m³) = 2.5
- distance to the lowest polymorph of the same formula (meV/atom) = 288.9

Structure (Quantum ESPRESSO input):
```
&SYSTEM
  ibrav = 0, nat = 4, ntyp = 3
/
ATOMIC_SPECIES
K 39.10 K.upf
Y 88.91 Y.upf
Cr 52.00 Cr.upf
CELL_PARAMETERS angstrom
3.421 -6.785 0.000
3.421 6.785 0.000
-1.721 0.000 3.138
ATOMIC_POSITIONS angstrom
K 1.710 3.393 0.000
K 1.710 -3.393 0.000
Y -0.860 0.000 1.569
Cr 2.560 0.000 1.569
```



A relaxed Tm6Se3S2 crystal. Source: Alexandria, functional PBE-GGA. Values from VASP.

- calculated volume (A^3/atom) = 22.98
- total DFT energy (no corrections) (eV per atom) = -5.745
- space-group type = R-3m
- Fermi-level density of states (states/eV/atom) = 0.349
- calculated density (Mg/m³) = 8.6

Structure (Quantum ESPRESSO input):
```
&SYSTEM
  ibrav = 0, nat = 11, ntyp = 3
/
ATOMIC_SPECIES
Tm 168.93 Tm.upf
Se 78.96 Se.upf
S 32.06 S.upf
CELL_PARAMETERS angstrom
1.936 1.118 19.461
-1.936 1.118 19.461
0.000 -2.236 19.461
ATOMIC_POSITIONS angstrom
Tm 0.000 0.000 5.276
Tm 0.000 0.000 11.123
Tm 0.000 0.000 21.120
Tm 0.000 0.000 37.264
Tm 0.000 0.000 47.261
Tm 0.000 0.000 53.108
Se 0.000 0.000 0.000
Se 0.000 0.000 15.998
Se 0.000 0.000 42.386
S 0.000 0.000 26.214
S 0.000 0.000 32.170
```



A relaxed Re2Si2Br crystal. Source: Alexandria, functional PBE-GGA. Values from VASP.

- calculated volume (A^3/atom) = 16.22
- space-group type = I4/mmm
- Fermi-level density of states (states/eV/atom) = 0.462
- calculated density (Mg/m³) = 10.4
- distance to the lowest polymorph of the same formula (meV/atom) = 101.4

Structure (Quantum ESPRESSO input):
```
&SYSTEM
  ibrav = 0, nat = 5, ntyp = 3
/
ATOMIC_SPECIES
Re 186.21 Re.upf
Si 28.09 Si.upf
Br 79.90 Br.upf
CELL_PARAMETERS angstrom
-1.722 1.722 6.838
1.722 -1.722 6.838
1.722 1.722 -6.838
ATOMIC_POSITIONS angstrom
Re 0.000 0.000 1.702
Re 0.000 0.000 11.974
Si 1.722 0.000 3.419
Si 0.000 1.722 3.419
Br 0.000 0.000 6.838
```



Q: What is the formula in the fourth record?
A: K2YCr